(1)
The following is a GGA-PBE calculation of crystalline CeGdErTl at its relaxed geometry, from the Alexandria database.

Uncorrected energy = -6.72 eV per atom
Calculated formation energy = 19 meV/atom
D(E_F) = 1.607 states/eV/atom
Total moment = 7.7 μB/f.u.
Space group = F-43m, No. 216

Lattice parameters (Å, degrees): 5.4086 5.4086 5.4086 60.00 60.00 60.00
Last column: nearest neighbours and their distance in Å.
Fractional positions:
Ce 0.0000 0.0000 0.0000  4 Gd 3.31, 4 Er 3.31
Gd 0.7500 0.7500 0.7500  4 Tl 3.31, 4 Ce 3.31
Er 0.2500 0.2500 0.2500  4 Tl 3.31, 4 Ce 3.31
Tl 0.5000 0.5000 0.5000  4 Gd 3.31, 4 Er 3.31

---

(2)
The following is a GGA-PBE calculation of crystalline Tb3PmEr at its relaxed geometry, from the Alexandria database.

Uncorrected energy = -4.31 eV per atom
Calculated formation energy = 328 meV/atom
D(E_F) = 1.780 states/eV/atom
Total moment = 0.0 μB/f.u.
Space group = P2_1/m, No. 11

Lattice parameters (Å, degrees): 3.6217 11.6386 8.5285 90.00 102.16 90.00
Last column: nearest neighbours and their distance in Å.
Fractional positions:
Tb 0.1451 0.2500 0.2866  2 Pm 3.27-3.28, 2 Er 3.28, 6 Tb 3.42-3.62
Tb 0.3467 0.5008 0.6957  6 Tb 3.42-3.73, 2 Pm 3.50-3.51, 1 Er 3.65
Tb 0.3467 0.9992 0.6957  6 Tb 3.42-3.73, 2 Pm 3.50-3.51, 1 Er 3.65
Tb 0.6533 0.0008 0.3043  6 Tb 3.42-3.73, 2 Pm 3.50-3.51, 1 Er 3.65
Tb 0.6533 0.4992 0.3043  6 Tb 3.42-3.73, 2 Pm 3.50-3.51, 1 Er 3.65
Tb 0.8549 0.7500 0.7134  2 Pm 3.27-3.28, 2 Er 3.28, 6 Tb 3.42-3.62
Pm 0.1920 0.7500 0.3860  6 Tb 3.27-3.51, 2 Er 3.39-3.40, 2 Pm 3.62
Pm 0.8080 0.2500 0.6140  6 Tb 3.27-3.51, 2 Er 3.39-3.40, 2 Pm 3.62
Er 0.4819 0.2500 0.9585  4 Tb 3.28-3.65, 2 Pm 3.39-3.40, 2 Er 3.62
Er 0.5181 0.7500 0.0415  4 Tb 3.28-3.65, 2 Pm 3.39-3.40, 2 Er 3.62

---

(3)
The following is a GGA-PBE calculation of crystalline PuCdCu2 at its relaxed geometry, from the Alexandria database.

Uncorrected energy = -5.73 eV per atom
Calculated formation energy = 127 meV/atom
D(E_F) = 2.128 states/eV/atom
Total moment = 5.9 μB/f.u.
Space group = P4/mmm, No. 123

Lattice parameters (Å, degrees): 5.0378 5.0378 2.9112 90.00 90.00 90.00
Last column: nearest neighbours and their distance in Å.
Fractional positions:
Pu 0.0000 0.0000 0.0000  8 Cu 2.91, 2 Pu 2.91
Cd 0.5000 0.5000 0.0000  8 Cu 2.91, 2 Cd 2.91
Cu 0.0000 0.5000 0.5000  4 Cd 2.91, 4 Pu 2.91, 2 Cu 2.91
Cu 0.5000 0.0000 0.5000  4 Cd 2.91, 4 Pu 2.91, 2 Cu 2.91